No. 1
Compound: HfVGa2
Source: Alexandria
Functional: PBE-GGA
Structure: relaxed

The structure belongs to space group I-42d (No. 122); the cell edges are 3.876, 3.876 and 19.369 Å and the angles 90.00°, 90.00° and 90.00°. Symmetry generates all atoms from Hf at (0.000, 0.000, 0.000), V at (0.000, 0.000, 0.500) and Ga at (0.228, 0.250, 0.625).

The calculation puts the relative energy among the computed polymorphs at 2.05 eV/f.u. As for the crystal system: tetragonal. The energy of formation from the pure elements comes out at 245 meV per atom.

---

No. 2
Compound: HfV2Ga2
Source: Alexandria
Functional: PBE-GGA
Structure: relaxed

The structure belongs to space group I4/mmm (No. 139); the cell edges are 4.023, 4.023 and 10.414 Å and the angles 90.00°, 90.00° and 90.00°. Symmetry generates all atoms from Hf at (0.000, 0.000, 0.000), V at (0.000, 0.000, 0.407) and Ga at (0.000, 0.500, 0.250).

The calculation puts the relative energy among the computed polymorphs at 1.43 eV/f.u. As for the crystal system: tetragonal. The energy of formation from the pure elements comes out at 70 meV per atom.

---

No. 3
Compound: HfV2Ga3
Source: Alexandria
Functional: PBE-GGA
Structure: relaxed

The structure belongs to space group R-3m (No. 166, hexagonal axes); the cell edges are 5.6171, 5.6171 and 21.0018 Å and the angles 90.00°, 90.00° and 120.00°. Symmetry generates all atoms from Hf at (0.0000, 0.0000, 0.2149), V at (0.0000, 0.0000, 0.0000), V at (0.0000, 0.5000, 0.0000) and Ga at (0.0067, 0.5033, 0.2323).

As for the crystal system: trigonal. The energy of formation from the pure elements comes out at -194 meV per atom.

---

No. 4
Compound: Hf3VGa
Source: Alexandria
Functional: PBE-GGA
Structure: relaxed

The structure belongs to space group Pm-3m (No. 221); the cell edges are 4.820, 4.820 and 4.820 Å and the angles 90.00°, 90.00° and 90.00°. Symmetry generates all atoms from Hf at (0.000, 0.000, 0.500), V at (0.000, 0.000, 0.000) and Ga at (0.500, 0.500, 0.500).

As for the crystal system: cubic. The energy of formation from the pure elements comes out at 716 meV per atom.

---

No. 5
Compound: HfVGa2
Source: Alexandria
Functional: PBE-GGA
Structure: relaxed

The structure belongs to space group R-3m (No. 166, hexagonal axes); the cell edges are 2.9403, 2.9403 and 27.2286 Å and the angles 90.00°, 90.00° and 120.00°. Symmetry generates all atoms from Hf at (0.0000, 0.0000, 0.0000), V at (0.0000, 0.0000, 0.5000) and Ga at (0.0000, 0.0000, 0.2438).

The calculation puts the relative energy among the computed polymorphs at 0.75 eV/f.u. As for the crystal system: trigonal. The energy of formation from the pure elements comes out at -81 meV per atom.

---

No. 6
Compound: HfV2Ga
Source: Alexandria
Functional: PBE-GGA
Structure: relaxed

The structure belongs to space group P4/mmm (No. 123); the cell edges are 3.857, 3.857 and 4.285 Å and the angles 90.00°, 90.00° and 90.00°. Symmetry generates all atoms from Hf at (0.000, 0.000, 0.000), V at (0.000, 0.500, 0.500) and Ga at (0.500, 0.500, 0.000).

As for the crystal system: tetragonal. The energy of formation from the pure elements comes out at -72 meV per atom.